Version one
Computed, not measured: a relaxed FePCCl2 crystal at the PBE level of DFT.

- Symmetry: P4/mmm
- ρ: 3.56 g cm⁻³
- Volume: 79.2 Å³ per cell
- Total magnetic moment: 3.74 μB/f.u.

Cell: 4.399 4.399 4.090 Å, 90.00 90.00 90.00°
Positions (direct):
1 Fe 0.000 0.000 0.000
2 P 0.500 0.500 0.000
3 C 0.500 0.500 0.500
4 Cl 0.000 0.500 0.500
5 Cl 0.500 0.000 0.500

=====

Version two
Computed, not measured: a relaxed FePCCl2 crystal at the PBE level of DFT.

- Symmetry: P4/mmm
- ρ: 2.90 g cm⁻³
- Volume: 97.2 Å³ per cell
- Total magnetic moment: 3.65 μB/f.u.

Cell: 4.656 4.656 4.485 Å, 90.00 90.00 90.00°
Positions (direct):
1 Fe 0.000 0.000 0.000
2 P 0.000 0.000 0.500
3 C 0.500 0.500 0.500
4 Cl 0.000 0.500 0.000
5 Cl 0.500 0.000 0.000

=====

In terms of stability, version one leads; the second structure lies 0.093 eV/atom higher.

=====

Version one
Computed, not measured: a relaxed FeCSCl2 crystal at the PBE level of DFT.

- Symmetry: P4/mmm
- ρ: 3.15 g cm⁻³
- Volume: 90.0 Å³ per cell
- Total magnetic moment: 0.00 μB/f.u.

Cell: 4.604 4.604 4.246 Å, 90.00 90.00 90.00°
Positions (direct):
1 Fe 0.000 0.000 0.000
2 C 0.500 0.500 0.500
3 S 0.000 0.000 0.500
4 Cl 0.000 0.500 0.000
5 Cl 0.500 0.000 0.000

=====

Version two
Computed, not measured: a relaxed FeCSCl2 crystal at the PBE level of DFT.

- Symmetry: P4/mmm
- ρ: 3.49 g cm⁻³
- Volume: 81.4 Å³ per cell
- Total magnetic moment: 3.91 μB/f.u.

Cell: 4.474 4.474 4.065 Å, 90.00 90.00 90.00°
Positions (direct):
1 Fe 0.000 0.000 0.000
2 C 0.500 0.500 0.500
3 S 0.500 0.500 0.000
4 Cl 0.000 0.500 0.500
5 Cl 0.500 0.000 0.500

=====

In terms of stability, version two leads; the second structure lies 0.234 eV/atom higher.

=====

Version one
Computed, not measured: a relaxed Ga2CCl crystal at the PBE level of DFT.

- Symmetry: I-42d
- ρ: 4.15 g cm⁻³
- Volume: 149.4 Å³ per cell
- Total magnetic moment: 0.00 μB/f.u.

Cell: 6.300 6.300 6.300 Å, 128.37 128.37 76.03°
Positions (direct):
1 Ga 0.008 0.625 0.883
2 Ga 0.375 0.258 0.383
3 Ga 0.742 0.125 0.117
4 Ga 0.875 0.992 0.617
5 C 0.000 0.000 0.000
6 C 0.750 0.250 0.500
7 Cl 0.250 0.750 0.500
8 Cl 0.500 0.500 0.000

=====

Version two
Computed, not measured: a relaxed Ga2CCl crystal at the PBE level of DFT.

- Symmetry: Fm-3m
- ρ: 4.86 g cm⁻³
- Volume: 63.8 Å³ per cell
- Total magnetic moment: 0.00 μB/f.u.

Cell: 4.486 4.486 4.486 Å, 60.00 60.00 60.00°
Positions (direct):
1 Ga 0.250 0.250 0.250
2 Ga 0.750 0.750 0.750
3 C 0.000 0.000 0.000
4 Cl 0.500 0.500 0.500

=====

In terms of stability, version one leads; the second structure lies 0.905 eV/atom higher.

=====

Version one
Computed, not measured: a relaxed GaCCl2 crystal at the PBE level of DFT.

- Symmetry: I4_1/amd
- ρ: 2.55 g cm⁻³
- Volume: 198.8 Å³ per cell
- Total magnetic moment: 0.56 μB/f.u.

Cell: 6.555 6.555 6.555 Å, 120.14 120.14 89.76°
Positions (direct):
1 Ga 0.375 0.625 0.750
2 Ga 0.625 0.375 0.250
3 C 0.125 0.875 0.250
4 C 0.875 0.125 0.750
5 Cl 0.000 0.000 0.000
6 Cl 0.000 0.000 0.500
7 Cl 0.000 0.500 0.000
8 Cl 0.500 0.000 0.500

=====

Version two
Computed, not measured: a relaxed GaCCl2 crystal at the PBE level of DFT.

- Symmetry: R-3m
- ρ: 3.13 g cm⁻³
- Volume: 81.1 Å³ per cell
- Total magnetic moment: 0.00 μB/f.u.

Cell: 8.784 8.784 8.784 Å, 21.68 21.68 21.68°
Positions (direct):
1 Ga 0.000 0.000 0.000
2 C 0.500 0.500 0.500
3 Cl 0.114 0.114 0.114
4 Cl 0.886 0.886 0.886

=====

Version three
Computed, not measured: a relaxed GaCCl2 crystal at the PBE level of DFT.

- Symmetry: Fm-3m
- ρ: 3.33 g cm⁻³
- Volume: 76.1 Å³ per cell
- Total magnetic moment: 1.00 μB/f.u.

Cell: 4.757 4.757 4.757 Å, 60.00 60.00 60.00°
Positions (direct):
1 Ga 0.000 0.000 0.000
2 C 0.500 0.500 0.500
3 Cl 0.250 0.250 0.250
4 Cl 0.750 0.750 0.750

=====

In terms of stability, version one leads; the second structure lies 0.117 eV/atom higher.

=====

Version one
Computed, not measured: a relaxed Ga3CCl crystal at the PBE level of DFT.

- Symmetry: Pm-3m
- ρ: 2.67 g cm⁻³
- Volume: 159.5 Å³ per cell
- Total magnetic moment: 2.06 μB/f.u.

Cell: 5.424 5.424 5.424 Å, 90.00 90.00 90.00°
Positions (direct):
1 Ga 0.000 0.000 0.500
2 Ga 0.000 0.500 0.000
3 Ga 0.500 0.000 0.000
4 C 0.500 0.500 0.500
5 Cl 0.000 0.000 0.000

=====

Version two
Computed, not measured: a relaxed Ga3CCl crystal at the PBE level of DFT.

- Symmetry: Pm-3m
- ρ: 4.44 g cm⁻³
- Volume: 96.0 Å³ per cell
- Total magnetic moment: 0.00 μB/f.u.

Cell: 4.578 4.578 4.578 Å, 90.00 90.00 90.00°
Positions (direct):
1 Ga 0.000 0.000 0.500
2 Ga 0.000 0.500 0.000
3 Ga 0.500 0.000 0.000
4 C 0.000 0.000 0.000
5 Cl 0.500 0.500 0.500

=====

In terms of stability, version two leads; the second structure lies 0.967 eV/atom higher.

=====

Version one
Computed, not measured: a relaxed GaC3Cl crystal at the PBE level of DFT.

- Symmetry: Pm-3m
- ρ: 4.05 g cm⁻³
- Volume: 57.9 Å³ per cell
- Total magnetic moment: 0.00 μB/f.u.

Cell: 3.870 3.870 3.870 Å, 90.00 90.00 90.00°
Positions (direct):
1 Ga 0.000 0.000 0.000
2 C 0.000 0.500 0.500
3 C 0.500 0.000 0.500
4 C 0.500 0.500 0.000
5 Cl 0.500 0.500 0.500

=====

Version two
Computed, not measured: a relaxed GaC3Cl crystal at the PBE level of DFT.

- Symmetry: Pm-3m
- ρ: 3.35 g cm⁻³
- Volume: 70.0 Å³ per cell
- Total magnetic moment: 1.67 μB/f.u.

Cell: 4.121 4.121 4.121 Å, 90.00 90.00 90.00°
Positions (direct):
1 Ga 0.000 0.000 0.000
2 C 0.000 0.000 0.500
3 C 0.000 0.500 0.000
4 C 0.500 0.000 0.000
5 Cl 0.500 0.500 0.500

=====

In terms of stability, version two leads; the second structure lies 0.346 eV/atom higher.